No. 1
A plane-wave DFT calculation with GGA-PBE was carried out for a relaxed PrTiBr2 crystal.

Calculated values
DFT total energy, eV per atom: -4.606
Crystal system: trigonal
Energy relative to the elements, uncorrected, eV per atom: -0.601

Cell lengths 9.9575, 9.9575, 9.9575 Å; angles 20.08, 20.08, 20.08 degrees
Closest atoms and distances in Å follow each position.
Fractional coordinates of all 4 atoms:
Pr (0.0000, 0.0000, 0.0000)  2 Br 3.12, 6 Pr 3.47
Ti (0.5000, 0.5000, 0.5000)  6 Br 2.67
Br (0.1066, 0.1066, 0.1066)  3 Ti 2.67
Br (0.8934, 0.8934, 0.8934)  3 Ti 2.67

---

No. 2
A plane-wave DFT calculation with GGA-PBE was carried out for a relaxed Pr3Tl2Br2 crystal.

Calculated values
DFT total energy, eV per atom: -3.993
Crystal system: monoclinic
Energy relative to the elements, uncorrected, eV per atom: -0.791

Cell lengths 6.0263, 6.0263, 9.4956 Å; angles 108.28, 108.28, 44.86 degrees
Closest atoms and distances in Å follow each position.
Fractional coordinates of all 7 atoms:
Pr (0.0000, 0.0000, 0.0000)  2 Br 3.21, 6 Tl 3.23-3.53
Pr (0.2194, 0.2194, 0.7059)  4 Br 3.10-3.44, 3 Tl 3.20-3.42
Pr (0.7806, 0.7806, 0.2941)  4 Br 3.10-3.44, 3 Tl 3.20-3.42
Tl (0.3347, 0.3347, 0.0890)  2 Tl 3.09, 5 Pr 3.20-3.42
Tl (0.6653, 0.6653, 0.9110)  2 Tl 3.09, 5 Pr 3.20-3.42
Br (0.1033, 0.1033, 0.3589)  5 Pr 3.10-3.44
Br (0.8967, 0.8967, 0.6411)  5 Pr 3.10-3.44

---

No. 3
A plane-wave DFT calculation with GGA-PBE was carried out for a relaxed PrTl5Br8 crystal.

Calculated values
DFT total energy, eV per atom: -3.291
Crystal system: triclinic
Energy relative to the elements, uncorrected, eV per atom: -1.148

Cell lengths 8.2462, 8.3453, 9.0103 Å; angles 108.01, 107.00, 108.16 degrees
Closest atoms and distances in Å follow each position.
Fractional coordinates of all 14 atoms:
Pr (0.0000, 0.0000, 0.0000)  7 Br 2.96-3.07
Tl (0.2280, 0.6043, 0.0774)  6 Br 3.25-3.59
Tl (0.3286, 0.8342, 0.6472)  6 Br 3.29-3.55
Tl (0.4941, 0.3818, 0.5614)  5 Br 3.18-3.42
Tl (0.6767, 0.4416, 0.1270)  7 Br 3.30-3.67
Tl (0.8421, 0.0899, 0.4739)  5 Br 3.16-3.44
Br (0.0479, 0.8607, 0.2812)  1 Pr 3.07, 3 Tl 3.35-3.37
Br (0.0749, 0.3399, 0.2989)  1 Pr 2.98
Br (0.2069, 0.1833, 0.8200)  1 Pr 3.07, 1 Tl 3.31
Br (0.4162, 0.0874, 0.1786)  1 Pr 3.06, 2 Tl 3.29-3.32
Br (0.5784, 0.6899, 0.4207)  5 Tl 3.16-3.51
Br (0.6063, 0.7442, 0.9261)  1 Pr 3.01, 2 Tl 3.32-3.34
Br (0.7637, 0.1684, 0.8324)  1 Pr 3.06, 3 Tl 3.29-3.39
Br (0.9719, 0.6520, 0.7520)  1 Pr 2.96, 1 Tl 3.29

---

No. 4
A plane-wave DFT calculation with GGA-PBE was carried out for a relaxed Pr6TlBr8 crystal.

Calculated values
DFT total energy, eV per atom: -4.325
Crystal system: trigonal
Energy relative to the elements, uncorrected, eV per atom: -1.364

Cell lengths 12.0840, 12.0840, 12.0840 Å; angles 35.01, 35.01, 35.01 degrees
Closest atoms and distances in Å follow each position.
Fractional coordinates of all 15 atoms:
Pr (0.1033, 0.4454, 0.7875)  5 Br 3.03-3.09, 1 Tl 3.10
Pr (0.2125, 0.8967, 0.5546)  5 Br 3.03-3.09, 1 Tl 3.10
Pr (0.4454, 0.7875, 0.1033)  5 Br 3.03-3.09, 1 Tl 3.10
Pr (0.5546, 0.2125, 0.8967)  5 Br 3.03-3.09, 1 Tl 3.10
Pr (0.7875, 0.1033, 0.4454)  5 Br 3.03-3.09, 1 Tl 3.10
Pr (0.8967, 0.5546, 0.2125)  5 Br 3.03-3.09, 1 Tl 3.10
Tl (0.5000, 0.5000, 0.5000)  6 Pr 3.10
Br (0.0693, 0.7112, 0.3902)  3 Pr 3.06-3.09
Br (0.1667, 0.1667, 0.1667)  6 Pr 3.03
Br (0.2888, 0.6098, 0.9307)  3 Pr 3.06-3.09
Br (0.3902, 0.0693, 0.7112)  3 Pr 3.06-3.09
Br (0.6098, 0.9307, 0.2888)  3 Pr 3.06-3.09
Br (0.7112, 0.3902, 0.0693)  3 Pr 3.06-3.09
Br (0.8333, 0.8333, 0.8333)  6 Pr 3.03
Br (0.9307, 0.2888, 0.6098)  3 Pr 3.06-3.09